No. 1
Here is an optimized crystal structure of LiPrMgPt from Alexandria. Energies are from GGA-PBE.

abc: 4.912 4.912 4.912
angles: 60.00 60.00 60.00
Atoms (fractional coordinates):
Li1 0.000 0.000 0.000
Pr1 0.750 0.750 0.750
Mg1 0.250 0.250 0.250
Pt1 0.500 0.500 0.500

Results
The calculated volume is 20.96 Å³ per atom. Its space-group type is No. 216. The value obtained for the formation energy is -0.57 eV/atom. The value obtained for the size of the total moment is 0.0000 μB per atom.

=====

No. 2
Here is an optimized crystal structure of HfNbP from Alexandria. Energies are from GGA-PBE.

abc: 3.446 3.446 9.094
angles: 90.00 90.00 90.00
Atoms (fractional coordinates):
Hf1 0.250 0.250 0.100
Hf2 0.750 0.750 0.900
Nb1 0.250 0.250 0.693
Nb2 0.750 0.750 0.307
P1 0.250 0.250 0.400
P2 0.750 0.750 0.600

Results
The calculated volume is 18.00 Å³ per atom. Its space-group type is No. 129. The value obtained for the formation energy is -0.52 eV/atom. The value obtained for the size of the total moment is 0.0000 μB per atom.

=====

No. 3
Here is an optimized crystal structure of NiAgOs2 from Alexandria. Energies are from GGA-PBE.

abc: 4.663 4.663 4.663
angles: 130.97 130.97 71.85
Atoms (fractional coordinates):
Ni1 0.000 0.000 0.000
Ag1 0.750 0.250 0.500
Os1 0.250 0.750 0.500
Os2 0.500 0.500 0.000

Results
The calculated volume is 14.14 Å³ per atom. Its space-group type is No. 119. The value obtained for the formation energy is 0.56 eV/atom. The value obtained for the size of the total moment is 0.0000 μB per atom.

=====

No. 4
Here is an optimized crystal structure of Ba2ScSb from Alexandria. Energies are from GGA-PBE.

abc: 10.143 10.143 10.143
angles: 27.33 27.33 27.33
Atoms (fractional coordinates):
Ba1 0.233 0.233 0.233
Ba2 0.767 0.767 0.767
Sc1 0.000 0.000 0.000
Sb1 0.500 0.500 0.500

Results
The calculated volume is 48.51 Å³ per atom. Its space-group type is No. 166. The calculation puts the uncorrected formation energy at -0.03 eV per atom. The value obtained for the size of the total moment is 0.4990 μB per atom.

=====

Question: Among the records above, which one has the highest calculated volume?
Answer: Ba2ScSb

=====

Question: Which formula does entry 3 have?
Answer: NiAgOs2

=====

Question: The lowest calculated volume belongs to which entry?
Answer: NiAgOs2